Material: Er2AgHg4
Method: DFT, PBE
State: relaxed

Cell: 7.815 7.815 7.815 Å, 38.67 38.67 38.67°
Fractional positions:
Er1 0.226 0.226 0.226
Er2 0.774 0.774 0.774
Ag1 0.500 0.500 0.500
Hg1 0.083 0.083 0.083
Hg2 0.367 0.367 0.367
Hg3 0.633 0.633 0.633
Hg4 0.917 0.917 0.917

Energy relative to the elements in kJ/mol of atoms: -26
Total magnetization in μB per cell: 0.0
DOS at the Fermi energy in states/eV per cell: 3.41
DFT total energy in eV/atom: -2.15